This record from Alexandria via LeMat-Bulk describes a relaxed Nd5Y3H12 crystal. The functional is PBE.

```
data_Nd5Y3H12
_chemical_formula_sum 'Nd40 Y24 H96'
_cell_length_a 13.445
_cell_length_b 13.445
_cell_length_c 13.445
_cell_angle_alpha 90.00
_cell_angle_beta 90.00
_cell_angle_gamma 90.00
_space_group_name_H-M_alt 'I a -3 d'
_space_group_IT_number 230
_space_group_name_Hall '-I 4bd 2c 3'
loop_
_atom_site_label
_atom_site_fract_x
_atom_site_fract_y
_atom_site_fract_z
_atom_site_occupancy
Nd1 0.000 0.000 0.000 1
Nd2 0.000 0.250 0.375 1
Y1 0.000 0.250 0.125 1
H1 0.001 0.070 0.158 1
```

Results
- total moment (Bohr magnetons per cell) = 0.01
- VASP energy (eV per atom) = -4.61